Record 1
Entry from the Alexandria database: Tm2W3O12 at its PBEsol-relaxed geometry (meta-GGA SCAN).

Calculated total energy: -25.635 eV/atom
Total magnetic moment: 0.0 μB per formula unit
Mass density: 8192 kg/m3
V: 219.2 Å³/f.u.

a = 7.5060 Å, b = 11.0673 Å, c = 11.1489 Å
α = 90.00°, β = 108.80°, γ = 90.00°
Space group C2/c (No. 15)
Inequivalent atoms, fractional coordinates:
1 Tm 0.1665 0.1235 0.0914 [8 per cell]
2 W 0.0000 0.1337 0.7500 [4 per cell]
3 W 0.1480 0.3903 0.5543 [8 per cell]
4 O 0.0531 0.2788 0.4385 [8 per cell]
5 O 0.0657 0.4629 0.9226 [8 per cell]
6 O 0.1294 0.0475 0.4572 [8 per cell]
7 O 0.1330 0.2086 0.8976 [8 per cell]
8 O 0.1721 0.0383 0.7209 [8 per cell]
9 O 0.2180 0.3135 0.7056 [8 per cell]

Record 2
Entry from the Alexandria database: LiFeSbO4 at its PBEsol-relaxed geometry (meta-GGA SCAN).

Calculated total energy: -13.493 eV/atom
Total magnetic moment: 4.1 μB per formula unit
Mass density: 5251 kg/m3
V: 78.6 Å³/f.u.

a = 6.0752 Å, b = 6.0752 Å, c = 8.5177 Å
α = 90.00°, β = 90.00°, γ = 90.00°
Space group P4_322 (No. 95)
Inequivalent atoms, fractional coordinates:
1 Li 0.0000 0.2061 0.0000 [4 per cell]
2 Fe 0.2499 0.2499 0.6250 [4 per cell]
3 Sb 0.2251 0.5000 0.2500 [4 per cell]
4 O 0.0065 0.2585 0.2488 [8 per cell]
5 O 0.2633 0.4823 0.0088 [8 per cell]

Record 3
Entry from the Alexandria database: CsCrP2O at its PBEsol-relaxed geometry (meta-GGA SCAN).

Calculated total energy: -15.033 eV/atom
Total magnetic moment: 3.1 μB per formula unit
Mass density: 3695 kg/m3
V: 118.1 Å³/f.u.

a = 5.3079 Å, b = 5.3079 Å, c = 4.1933 Å
α = 90.00°, β = 90.00°, γ = 90.00°
Space group P4/mmm (No. 123)
Inequivalent atoms, fractional coordinates:
1 Cs 0.0000 0.0000 0.0000 [1 per cell]
2 Cr 0.5000 0.5000 0.5000 [1 per cell]
3 P 0.0000 0.5000 0.0000 [2 per cell]
4 O 0.0000 0.0000 0.5000 [1 per cell]

- Which of these has the highest total magnetic moment?
  LiFeSbO4

- The lowest calculated total energy belongs to which entry?
  Tm2W3O12

- The highest total magnetic moment belongs to which entry?
  LiFeSbO4

- Which formula does entry 2 have?
  LiFeSbO4